The following is a DFT calculation (PBE) of a relaxed K2CdGeO4 crystal.

- Symmetry: No. 82
- Energy relative to the elements, uncorrected: -1232 kJ/mol of formula units
- Energy: -5.041 eV/atom

abc: 5.784 5.784 5.784
angles: 93.14 118.20 118.20
Sites, in units of the cell vectors:
K: 0.000 0.000 0.000
K: 0.500 0.750 0.250
O: 0.941 0.529 0.173
O: 0.356 0.827 0.768
O: 0.644 0.412 0.471
O: 0.059 0.232 0.588
Cd: 0.500 0.250 0.750
Ge: 0.000 0.500 0.500

The following is a DFT calculation (PBE) of a relaxed KCdGePb2 crystal.

- Symmetry: No. 123
- Energy: -1.726 eV/atom

abc: 6.082 5.742 6.082
angles: 90.00 90.00 90.00
Sites, in units of the cell vectors:
Cd: 0.500 0.500 0.500
K: 0.000 0.000 0.000
Pb: 0.000 0.000 0.500
Pb: 0.500 0.000 0.000
Ge: 0.000 0.500 0.000

The following is a DFT calculation (PBE) of a relaxed KCdGePt2 crystal.

- Symmetry: No. 123
- Energy: -2.093 eV/atom

abc: 5.107 5.210 5.107
angles: 90.00 90.00 90.00
Sites, in units of the cell vectors:
Pt: 0.500 0.000 0.000
Pt: 0.000 0.000 0.500
Cd: 0.500 0.500 0.500
K: 0.000 0.000 0.000
Ge: 0.000 0.500 0.000